Record 1
LaY2TlW PBE-GGA optimized geometry; space-group type = P4/mmm (123); final energy = -5.3492 eV per atom
1.0
-0.4868 -4.7687 -2.8691
4.7966 -0.7792 0.4813
-0.9278 -2.7703 4.7618
Y Tl W La
2 1 1 1
direct
0.5000 0.0000 0.0000
0.0000 0.0000 0.5000
0.5000 0.5000 0.5000
0.0000 0.5000 0.0000
0.0000 0.0000 0.0000


Record 2
Cd4Ag PBE-GGA optimized geometry; E above lowest polymorph = 6.8 meV/atom; space-group type = R-3m (166)
1.0
-0.5950 2.6322 -1.4902
-12.2474 -2.2601 4.0868
0.3689 2.7022 1.4371
Cd Ag
4 1
direct
0.2023 0.6069 0.2023
0.3955 0.1865 0.3955
0.7977 0.3931 0.7977
0.6045 0.8135 0.6045
0.0000 0.0000 0.0000


Record 3
Cs4TbSm3Te8 PBE-GGA optimized geometry; uncorrected formation energy = -1.403 eV/atom; space-group type = R-3m (166)
1.0
9.2322 0.0000 0.0000
0.0000 10.3757 0.8032
-4.6161 -4.6161 6.5294
Te Cs Sm Tb
8 4 3 1
direct
0.2688 0.3066 0.5376
0.7710 0.3081 0.0370
0.7312 0.6934 0.4624
0.7341 0.6919 0.9630
0.7710 0.3081 0.5421
0.2290 0.6919 0.9630
0.2659 0.3081 0.0370
0.2290 0.6919 0.4579
0.5000 0.0000 0.0000
0.0000 0.0000 0.0000
0.5000 0.0000 0.5000
0.0000 0.0000 0.5000
0.0000 0.5000 0.5000
0.5000 0.5000 0.5000
0.5000 0.5000 0.0000
0.0000 0.5000 0.0000


Record 4
Li6InAu2 PBE-GGA optimized geometry; space-group type = C2/m (12); final energy = -2.6831 eV per atom
1.0
-0.2295 -1.0582 -2.6261
7.0928 -3.4376 -2.3111
1.4422 -8.0860 0.0557
In Au Li
1 2 6
direct
0.9999 0.0000 0.0000
0.6665 0.6667 0.6667
0.3338 0.3333 0.3333
0.8431 0.0004 0.6590
0.1568 0.9996 0.3410
0.8431 0.6590 0.0004
0.1568 0.3410 0.9996
0.5000 0.6595 0.3405
0.5000 0.3405 0.6595